No. 1
Here is a relaxed MgFeSbAu crystal from OQMD via LeMat-Bulk. Energies are from PBE.

Cell: 4.690 4.690 4.690 Å, 60.00 60.00 60.00°
Element x y z (fractional)
Mg: 0.000 0.000 0.000
Fe: 0.500 0.500 0.500
Sb: 0.250 0.250 0.250
Au: 0.750 0.750 0.750

Computed properties:
symmetry: F-43m
M_tot: 2.54 μB per formula unit
excess energy over the best structure of this formula in the dataset: 0.000 eV/atom
volume: 18.241 Å³ per atom

***

No. 2
Here is a relaxed MgFeTe3Au crystal from OQMD via LeMat-Bulk. Energies are from PBE.

Cell: 7.529 7.529 10.877 Å, 90.00 90.00 151.75°
Element x y z (fractional)
Mg: 0.196 0.804 0.750
Mg: 0.804 0.196 0.250
Fe: 0.500 0.500 0.000
Fe: 0.500 0.500 0.500
Te: 0.127 0.873 0.010
Te: 0.127 0.873 0.490
Te: 0.463 0.537 0.250
Te: 0.537 0.463 0.750
Te: 0.873 0.127 0.510
Te: 0.873 0.127 0.990
Au: 0.164 0.836 0.250
Au: 0.836 0.164 0.750

Computed properties:
symmetry: Cmcm
energy: -3.93 eV per atom
M_tot: 1.77 μB per formula unit
volume: 24.318 Å³ per atom

***

No. 3
Here is a relaxed MgTlFeAu crystal from OQMD via LeMat-Bulk. Energies are from PBE.

Cell: 4.706 4.706 4.706 Å, 60.00 60.00 60.00°
Element x y z (fractional)
Mg: 0.000 0.000 0.000
Tl: 0.250 0.250 0.250
Fe: 0.500 0.500 0.500
Au: 0.750 0.750 0.750

Computed properties:
symmetry: F-43m
M_tot: 2.77 μB per formula unit
excess energy over the best structure of this formula in the dataset: 0.000 eV/atom
volume: 18.427 Å³ per atom

***

No. 4
Here is a relaxed FeMo4AuN2 crystal from OQMD via LeMat-Bulk. Energies are from PBE.

Cell: 2.846 2.846 14.748 Å, 90.00 90.00 120.00°
Element x y z (fractional)
Fe: 0.000 0.000 0.000
Mo: 0.000 0.000 0.334
Mo: 0.000 0.000 0.666
Mo: 0.667 0.333 0.146
Mo: 0.667 0.333 0.854
Au: 0.667 0.333 0.500
N: 0.333 0.667 0.241
N: 0.333 0.667 0.759

Computed properties:
symmetry: P-6m2
energy: -8.89 eV per atom
M_tot: 2.00 μB per formula unit
volume: 12.933 Å³ per atom

***

No. 5
Here is a relaxed FeMoPbAu crystal from OQMD via LeMat-Bulk. Energies are from PBE.

Cell: 4.574 4.574 4.574 Å, 60.00 60.00 60.00°
Element x y z (fractional)
Fe: 0.000 0.000 0.000
Mo: 0.500 0.500 0.500
Pb: 0.750 0.750 0.750
Au: 0.250 0.250 0.250

Computed properties:
symmetry: F-43m
M_tot: 2.82 μB per formula unit
excess energy over the best structure of this formula in the dataset: 0.000 eV/atom
volume: 16.918 Å³ per atom

***

No. 6
Here is a relaxed FeSbMoAu crystal from OQMD via LeMat-Bulk. Energies are from PBE.

Cell: 4.551 4.551 4.551 Å, 60.00 60.00 60.00°
Element x y z (fractional)
Fe: 0.000 0.000 0.000
Sb: 0.750 0.750 0.750
Mo: 0.500 0.500 0.500
Au: 0.250 0.250 0.250

Computed properties:
symmetry: F-43m
M_tot: 2.38 μB per formula unit
excess energy over the best structure of this formula in the dataset: 0.000 eV/atom
volume: 16.660 Å³ per atom

***

No. 7
Here is a relaxed FeSiMoAu crystal from OQMD via LeMat-Bulk. Energies are from PBE.

Cell: 4.339 4.339 4.339 Å, 60.00 60.00 60.00°
Element x y z (fractional)
Fe: 0.000 0.000 0.000
Si: 0.750 0.750 0.750
Mo: 0.250 0.250 0.250
Au: 0.500 0.500 0.500

Computed properties:
symmetry: F-43m
M_tot: 0.98 μB per formula unit
excess energy over the best structure of this formula in the dataset: 0.208 eV/atom
volume: 14.444 Å³ per atom

***

No. 8
Here is a relaxed FeSiMoAu crystal from OQMD via LeMat-Bulk. Energies are from PBE.

Cell: 4.346 4.346 4.346 Å, 60.00 60.00 60.00°
Element x y z (fractional)
Fe: 0.000 0.000 0.000
Si: 0.750 0.750 0.750
Mo: 0.500 0.500 0.500
Au: 0.250 0.250 0.250

Computed properties:
symmetry: F-43m
M_tot: 1.70 μB per formula unit
excess energy over the best structure of this formula in the dataset: 0.000 eV/atom
volume: 14.512 Å³ per atom

***

No. 9
Here is a relaxed FeSnMoAu crystal from OQMD via LeMat-Bulk. Energies are from PBE.

Cell: 4.555 4.555 4.555 Å, 60.00 60.00 60.00°
Element x y z (fractional)
Fe: 0.000 0.000 0.000
Sn: 0.750 0.750 0.750
Mo: 0.500 0.500 0.500
Au: 0.250 0.250 0.250

Computed properties:
symmetry: F-43m
M_tot: 2.72 μB per formula unit
excess energy over the best structure of this formula in the dataset: 0.000 eV/atom
volume: 16.712 Å³ per atom

***

No. 10
Here is a relaxed ZnFeMoAu crystal from OQMD via LeMat-Bulk. Energies are from PBE.

Cell: 4.408 4.408 4.408 Å, 60.00 60.00 60.00°
Element x y z (fractional)
Zn: 0.000 0.000 0.000
Fe: 0.250 0.250 0.250
Mo: 0.500 0.500 0.500
Au: 0.750 0.750 0.750

Computed properties:
symmetry: F-43m
formation energy: 0.30 eV per atom
M_tot: 1.37 μB per formula unit
excess energy over the best structure of this formula in the dataset: 0.000 eV/atom
volume: 15.145 Å³ per atom

***

No. 11
Here is a relaxed ZnFeMoAu crystal from OQMD via LeMat-Bulk. Energies are from PBE.

Cell: 4.407 4.407 4.407 Å, 60.00 60.00 60.00°
Element x y z (fractional)
Zn: 0.000 0.000 0.000
Fe: 0.250 0.250 0.250
Mo: 0.750 0.750 0.750
Au: 0.500 0.500 0.500

Computed properties:
symmetry: F-43m
formation energy: 0.36 eV per atom
M_tot: 1.44 μB per formula unit
excess energy over the best structure of this formula in the dataset: 0.064 eV/atom
volume: 15.126 Å³ per atom

***

No. 12
Here is a relaxed Nb4FeAuN2 crystal from OQMD via LeMat-Bulk. Energies are from PBE.

Cell: 3.112 3.112 13.553 Å, 90.00 90.00 120.00°
Element x y z (fractional)
Nb: 0.000 0.000 0.148
Nb: 0.000 0.000 0.852
Nb: 0.667 0.333 0.328
Nb: 0.667 0.333 0.672
Fe: 0.667 0.333 0.000
Au: 0.000 0.000 0.500
N: 0.333 0.667 0.238
N: 0.333 0.667 0.762

Computed properties:
symmetry: P-6m2
energy: -9.02 eV per atom
M_tot: 1.45 μB per formula unit
volume: 14.212 Å³ per atom

***

No. 13
Here is a relaxed Sc4FeAuN2 crystal from OQMD via LeMat-Bulk. Energies are from PBE.

Cell: 3.172 3.172 14.027 Å, 90.00 90.00 120.00°
Element x y z (fractional)
Sc: 0.000 0.000 0.155
Sc: 0.000 0.000 0.845
Sc: 0.333 0.667 0.336
Sc: 0.333 0.667 0.664
Fe: 0.333 0.667 0.000
Au: 0.000 0.000 0.500
N: 0.667 0.333 0.249
N: 0.667 0.333 0.751

Computed properties:
symmetry: P-6m2
energy: -7.67 eV per atom
M_tot: 2.28 μB per formula unit
volume: 15.283 Å³ per atom

***

No. 14
Here is a relaxed Ta4FeAuN2 crystal from OQMD via LeMat-Bulk. Energies are from PBE.

Cell: 3.080 3.080 13.566 Å, 90.00 90.00 120.00°
Element x y z (fractional)
Ta: 0.000 0.000 0.147
Ta: 0.000 0.000 0.853
Ta: 0.667 0.333 0.329
Ta: 0.667 0.333 0.671
Fe: 0.667 0.333 0.000
Au: 0.000 0.000 0.500
N: 0.333 0.667 0.238
N: 0.333 0.667 0.762

Computed properties:
symmetry: P-6m2
energy: -9.93 eV per atom
M_tot: 1.33 μB per formula unit
volume: 13.932 Å³ per atom

***

No. 15
Here is a relaxed NaFeAuS3 crystal from OQMD via LeMat-Bulk. Energies are from PBE.

Cell: 7.507 7.507 9.665 Å, 90.00 90.00 154.74°
Element x y z (fractional)
Na: 0.202 0.798 0.750
Na: 0.798 0.202 0.250
Fe: 0.500 0.500 0.000
Fe: 0.500 0.500 0.500
Au: 0.129 0.871 0.250
Au: 0.871 0.129 0.750
S: 0.110 0.890 0.012
S: 0.110 0.890 0.488
S: 0.457 0.543 0.250
S: 0.543 0.457 0.750
S: 0.890 0.110 0.512
S: 0.890 0.110 0.988

Computed properties:
symmetry: Cmcm
energy: -4.48 eV per atom
M_tot: 1.96 μB per formula unit
volume: 19.365 Å³ per atom

***

No. 16
Here is a relaxed NaFeTeAuS2 crystal from OQMD via LeMat-Bulk. Energies are from PBE.

Cell: 7.963 7.963 10.263 Å, 90.00 90.00 155.85°
Element x y z (fractional)
Na: 0.231 0.769 0.750
Na: 0.769 0.231 0.250
Fe: 0.500 0.500 0.000
Fe: 0.500 0.500 0.500
Te: 0.439 0.561 0.250
Te: 0.561 0.439 0.750
Au: 0.114 0.886 0.250
Au: 0.886 0.114 0.750
S: 0.102 0.898 0.022
S: 0.102 0.898 0.478
S: 0.898 0.102 0.522
S: 0.898 0.102 0.978

Computed properties:
symmetry: Cmcm
energy: -4.33 eV per atom
M_tot: 1.39 μB per formula unit
volume: 22.194 Å³ per atom

***

No. 17
Here is a relaxed NaFeAuSe3 crystal from OQMD via LeMat-Bulk. Energies are from PBE.

Cell: 7.535 7.535 10.632 Å, 93.45 93.45 26.36°
Element x y z (fractional)
Na: 0.215 0.215 0.244
Na: 0.785 0.785 0.756
Fe: 0.500 0.500 0.000
Fe: 0.500 0.500 0.500
Au: 0.118 0.118 0.739
Au: 0.882 0.882 0.261
Se: 0.116 0.116 0.972
Se: 0.117 0.117 0.506
Se: 0.448 0.448 0.780
Se: 0.552 0.552 0.220
Se: 0.883 0.883 0.494
Se: 0.884 0.884 0.028

Computed properties:
symmetry: C2/m
energy: -4.17 eV per atom
M_tot: 2.38 μB per formula unit
volume: 22.290 Å³ per atom

***

No. 18
Here is a relaxed NaFeTe2AuSe crystal from OQMD via LeMat-Bulk. Energies are from PBE.

Cell: 7.223 7.223 10.584 Å, 90.00 90.00 148.91°
Element x y z (fractional)
Na: 0.247 0.753 0.750
Na: 0.753 0.247 0.250
Fe: 0.500 0.500 0.000
Fe: 0.500 0.500 0.500
Te: 0.132 0.868 0.007
Te: 0.132 0.868 0.493
Te: 0.868 0.132 0.507
Te: 0.868 0.132 0.993
Au: 0.085 0.915 0.250
Au: 0.915 0.085 0.750
Se: 0.444 0.556 0.250
Se: 0.556 0.444 0.750

Computed properties:
symmetry: Cmcm
energy: -3.93 eV per atom
M_tot: 2.57 μB per formula unit
volume: 23.760 Å³ per atom

***

No. 19
Here is a relaxed NbFe3Au crystal from OQMD via LeMat-Bulk. Energies are from PBE.

Cell: 6.055 6.055 6.055 Å, 133.26 113.50 85.18°
Element x y z (fractional)
Nb: 0.000 0.000 0.000
Nb: 0.500 0.000 0.500
Fe: 0.182 0.000 0.682
Fe: 0.182 0.500 0.182
Fe: 0.454 0.204 0.250
Fe: 0.546 0.796 0.750
Fe: 0.818 0.000 0.318
Fe: 0.818 0.500 0.818
Au: 0.247 0.497 0.750
Au: 0.753 0.503 0.250

Computed properties:
symmetry: Imma
formation energy: 0.25 eV per atom
M_tot: 4.66 μB per formula unit
volume: 14.221 Å³ per atom

***

No. 20
Here is a relaxed NbFe4Au crystal from OQMD via LeMat-Bulk. Energies are from PBE.

Cell: 4.802 4.802 4.802 Å, 60.00 60.00 60.00°
Element x y z (fractional)
Nb: 0.000 0.000 0.000
Fe: 0.375 0.375 0.375
Fe: 0.375 0.375 0.874
Fe: 0.375 0.874 0.375
Fe: 0.874 0.375 0.375
Au: 0.750 0.750 0.750

Computed properties:
symmetry: F-43m
formation energy: -0.10 eV per atom
M_tot: 6.34 μB per formula unit
volume: 13.046 Å³ per atom

***

No. 21
Here is a relaxed NbFeAu2 crystal from OQMD via LeMat-Bulk. Energies are from PBE.

Cell: 4.535 4.535 4.535 Å, 60.00 60.00 60.00°
Element x y z (fractional)
Nb: 0.000 0.000 0.000
Fe: 0.250 0.250 0.250
Au: 0.500 0.500 0.500
Au: 0.750 0.750 0.750

Computed properties:
symmetry: F-43m
formation energy: 0.10 eV per atom
M_tot: 2.06 μB per formula unit
volume: 16.489 Å³ per atom

***

No. 22
Here is a relaxed NbFeSbAu crystal from OQMD via LeMat-Bulk. Energies are from PBE.

Cell: 4.625 4.625 4.625 Å, 60.00 60.00 60.00°
Element x y z (fractional)
Nb: 0.000 0.000 0.000
Fe: 0.500 0.500 0.500
Sb: 0.250 0.250 0.250
Au: 0.750 0.750 0.750

Computed properties:
symmetry: F-43m
M_tot: 1.71 μB per formula unit
excess energy over the best structure of this formula in the dataset: 0.000 eV/atom
volume: 17.484 Å³ per atom

***

No. 23
Here is a relaxed NbFeSbAu crystal from OQMD via LeMat-Bulk. Energies are from PBE.

Cell: 4.617 4.617 4.617 Å, 60.00 60.00 60.00°
Element x y z (fractional)
Nb: 0.000 0.000 0.000
Fe: 0.750 0.750 0.750
Sb: 0.500 0.500 0.500
Au: 0.250 0.250 0.250

Computed properties:
symmetry: F-43m
M_tot: 0.88 μB per formula unit
excess energy over the best structure of this formula in the dataset: 0.152 eV/atom
volume: 17.397 Å³ per atom

***

No. 24
Here is a relaxed NdFeSi2Au crystal from OQMD via LeMat-Bulk. Energies are from PBE.

Cell: 5.868 5.868 5.868 Å, 138.32 138.32 60.41°
Element x y z (fractional)
Nd: 0.000 0.000 0.000
Fe: 0.750 0.250 0.500
Si: 0.380 0.380 0.000
Si: 0.620 0.620 0.000
Au: 0.250 0.750 0.500

Computed properties:
symmetry: I-4m2
energy: -6.00 eV per atom
M_tot: 1.97 μB per formula unit
volume: 17.675 Å³ per atom

***

No. 25
Here is a relaxed FeNiPbAu crystal from OQMD via LeMat-Bulk. Energies are from PBE.

Cell: 4.525 4.525 4.525 Å, 60.00 60.00 60.00°
Element x y z (fractional)
Fe: 0.000 0.000 0.000
Ni: 0.500 0.500 0.500
Pb: 0.750 0.750 0.750
Au: 0.250 0.250 0.250

Computed properties:
symmetry: F-43m
M_tot: 2.94 μB per formula unit
excess energy over the best structure of this formula in the dataset: 0.000 eV/atom
volume: 16.375 Å³ per atom

***

No. 26
Here is a relaxed FeNiSbAu crystal from OQMD via LeMat-Bulk. Energies are from PBE.

Cell: 4.445 4.445 4.445 Å, 60.00 60.00 60.00°
Element x y z (fractional)
Fe: 0.000 0.000 0.000
Ni: 0.500 0.500 0.500
Sb: 0.750 0.750 0.750
Au: 0.250 0.250 0.250

Computed properties:
symmetry: F-43m
M_tot: 2.46 μB per formula unit
excess energy over the best structure of this formula in the dataset: 0.000 eV/atom
volume: 15.527 Å³ per atom

***

No. 27
Here is a relaxed TlFeNiAu crystal from OQMD via LeMat-Bulk. Energies are from PBE.

Cell: 4.478 4.478 4.478 Å, 60.00 60.00 60.00°
Element x y z (fractional)
Tl: 0.000 0.000 0.000
Fe: 0.250 0.250 0.250
Ni: 0.750 0.750 0.750
Au: 0.500 0.500 0.500

Computed properties:
symmetry: F-43m
M_tot: 2.90 μB per formula unit
excess energy over the best structure of this formula in the dataset: 0.000 eV/atom
volume: 15.873 Å³ per atom